This record from Alexandria describes a relaxed HfAg2GePb crystal. The functional is PBE.

The calculation puts the volume at 122.3 Å³ per cell. Its uncorrected energy is -0.16502 Ha/atom. The value obtained for the formation energy is 0.31 eV per atom. The value obtained for the density of states at the Fermi level is 1.85 states/eV/f.u.

The structure in POSCAR format:
```
HfAg2GePb
1.0
4.835 0.000 0.000
0.000 4.835 0.000
0.000 0.000 5.234
Hf Ag Ge Pb
1 2 1 1
Direct
0.000 0.000 0.000
0.000 0.500 0.500
0.500 0.000 0.500
0.000 0.000 0.500
0.500 0.500 0.000
```

---

This record from Alexandria describes a relaxed Ba2LiGeH crystal. The functional is PBE.

The calculation puts the volume at 135.1 Å³ per cell. Its uncorrected energy is -0.11434 Ha/atom. The value obtained for the density of states at the Fermi level is 2.34 states/eV/f.u. For the energy above the most stable polymorph in this dataset, the calculation gives 68 meV per atom.

The structure in POSCAR format:
```
Ba2LiGeH
1.0
5.517 0.000 0.000
0.000 5.517 0.000
0.000 0.000 4.440
Ba Li Ge H
2 1 1 1
Direct
0.000 0.500 0.000
0.500 0.000 0.000
0.000 0.000 0.500
0.500 0.500 0.500
0.000 0.000 0.000
```

---

This record from Alexandria describes a relaxed Sc2AlIn2 crystal. The functional is PBE.

The calculation puts the volume at 225.4 Å³ per cell. Its uncorrected energy is -0.17143 Ha/atom. The value obtained for the formation energy is -0.29 eV per atom. The value obtained for the density of states at the Fermi level is 2.87 states/eV/f.u. For the energy above the most stable polymorph in this dataset, the calculation gives 0 meV per atom.

The structure in POSCAR format:
```
Sc2AlIn2
1.0
7.147 0.000 0.000
0.000 7.147 0.000
0.000 0.000 4.414
Sc Al In
4 2 4
Direct
0.167 0.333 0.000
0.333 0.833 0.000
0.667 0.167 0.000
0.833 0.667 0.000
0.000 0.000 0.500
0.500 0.500 0.500
0.139 0.639 0.500
0.361 0.139 0.500
0.639 0.861 0.500
0.861 0.361 0.500
```

---

This record from Alexandria describes a relaxed CaNiH3 crystal. The functional is PBE.

The calculation puts the volume at 100.9 Å³ per cell. Its uncorrected energy is -0.14068 Ha/atom. The value obtained for the density of states at the Fermi level is 0.19 states/eV/f.u.

The structure in POSCAR format:
```
CaNiH3
1.0
-2.407 3.536 2.965
2.407 -3.536 2.965
2.407 3.536 -2.965
Ca Ni H
2 2 6
Direct
0.000 0.000 0.000
0.500 0.000 0.500
0.309 0.559 0.750
0.691 0.441 0.250
0.029 0.623 0.406
0.283 0.377 0.906
0.500 0.000 0.000
0.500 0.500 0.500
0.717 0.623 0.094
0.971 0.377 0.594
```

---

This record from Alexandria describes a relaxed Al2Pd4Au crystal. The functional is PBE.

The calculation puts the volume at 151.8 Å³ per cell. Its uncorrected energy is -0.15374 Ha/atom. The value obtained for the formation energy is 0.32 eV per atom. The value obtained for the density of states at the Fermi level is 2.77 states/eV/f.u. For the energy above the most stable polymorph in this dataset, the calculation gives 913 meV per atom.

The structure in POSCAR format:
```
Al2Pd4Au
1.0
-2.454 2.454 6.303
2.454 -2.454 6.303
2.454 2.454 -6.303
Al Pd Au
2 4 1
Direct
0.103 0.103 0.000
0.897 0.897 0.000
0.000 0.500 0.500
0.287 0.287 0.000
0.500 0.000 0.500
0.713 0.713 0.000
0.500 0.500 0.000
```

---

This record from Alexandria describes a relaxed CsTlSiAu2 crystal. The functional is PBE.

The calculation puts the volume at 143.8 Å³ per cell. Its uncorrected energy is -0.11263 Ha/atom. The value obtained for the density of states at the Fermi level is 2.11 states/eV/f.u. As for the formation energy (no corrections): -0.13 eV/f.u.

The structure in POSCAR format:
```
CsTlSiAu2
1.0
5.098 0.000 0.000
0.000 5.098 0.000
0.000 0.000 5.533
Cs Tl Si Au
1 1 1 2
Direct
0.000 0.000 0.000
0.500 0.500 0.000
0.500 0.500 0.500
0.000 0.500 0.500
0.500 0.000 0.500
```

---

This record from Alexandria describes a relaxed Th6In2C crystal. The functional is PBE.

The calculation puts the volume at 253.1 Å³ per cell. Its uncorrected energy is -0.24824 Ha/atom. The value obtained for the formation energy is -0.18 eV per atom. The value obtained for the density of states at the Fermi level is 11.53 states/eV/f.u. For the energy above the most stable polymorph in this dataset, the calculation gives 0 meV per atom.

The structure in POSCAR format:
```
Th6In2C
1.0
-3.546 3.546 5.031
3.546 -3.546 5.031
3.546 3.546 -5.031
Th In C
6 2 1
Direct
0.250 0.250 0.000
0.250 0.250 0.501
0.250 0.750 0.000
0.750 0.250 0.000
0.750 0.750 0.000
0.750 0.750 0.499
0.250 0.750 0.500
0.750 0.250 0.500
0.000 0.000 0.000
```

---

This record from Alexandria describes a relaxed P2Br crystal. The functional is PBE.

The calculation puts the volume at 114.6 Å³ per cell. Its uncorrected energy is -0.11105 Ha/atom. The value obtained for the density of states at the Fermi level is 1.99 states/eV/f.u. As for the formation energy (no corrections): 3.43 eV/f.u. For the energy above the most stable polymorph in this dataset, the calculation gives 1193 meV per atom.

The structure in POSCAR format:
```
P2Br
1.0
5.034 0.000 0.000
-2.517 4.359 0.000
0.000 0.000 5.223
P Br
4 2
Direct
0.000 0.000 0.000
0.000 0.000 0.500
0.333 0.667 0.250
0.667 0.333 0.750
0.333 0.667 0.750
0.667 0.333 0.250
```

---

This record from Alexandria describes a relaxed PaMnAu crystal. The functional is PBE.

The calculation puts the volume at 110.9 Å³ per cell. Its uncorrected energy is -0.27652 Ha/atom. The value obtained for the formation energy is -0.21 eV per atom. The value obtained for the density of states at the Fermi level is 3.84 states/eV/f.u. For the energy above the most stable polymorph in this dataset, the calculation gives 0 meV per atom.

The structure in POSCAR format:
```
PaMnAu
1.0
1.773 -8.693 0.000
1.773 8.693 0.000
0.000 0.000 3.596
Pa Mn Au
2 2 2
Direct
0.095 0.905 0.750
0.905 0.095 0.250
0.449 0.551 0.750
0.551 0.449 0.250
0.292 0.708 0.750
0.708 0.292 0.250
```

---

This record from Alexandria describes a relaxed HfBAu crystal. The functional is PBE.

The calculation puts the volume at 100.5 Å³ per cell. Its uncorrected energy is -0.23888 Ha/atom. The value obtained for the formation energy is 0.14 eV per atom. The value obtained for the density of states at the Fermi level is 1.62 states/eV/f.u.

The structure in POSCAR format:
```
HfBAu
1.0
4.044 0.000 0.000
0.000 4.044 0.000
0.000 0.000 6.147
Hf B Au
2 2 2
Direct
0.250 0.250 0.168
0.750 0.750 0.832
0.250 0.750 0.000
0.750 0.250 0.000
0.250 0.250 0.620
0.750 0.750 0.380
```

---

This record from Alexandria describes a relaxed KZr3Te crystal. The functional is PBE.

The calculation puts the volume at 126.2 Å³ per cell. Its uncorrected energy is -0.15514 Ha/atom. The value obtained for the density of states at the Fermi level is 10.87 states/eV/f.u. As for the formation energy (no corrections): 8.78 eV/f.u. For the energy above the most stable polymorph in this dataset, the calculation gives 1057 meV per atom.

The structure in POSCAR format:
```
KZr3Te
1.0
5.015 0.000 0.000
0.000 5.015 0.000
0.000 0.000 5.015
K Zr Te
1 3 1
Direct
0.000 0.000 0.000
0.000 0.000 0.500
0.000 0.500 0.000
0.500 0.000 0.000
0.500 0.500 0.500
```

---

This record from Alexandria describes a relaxed FeHPd2Se crystal. The functional is PBE.

The calculation puts the volume at 65.0 Å³ per cell. Its uncorrected energy is -0.18631 Ha/atom. The value obtained for the density of states at the Fermi level is 4.27 states/eV/f.u.

The structure in POSCAR format:
```
FeHPd2Se
1.0
3.951 0.000 0.000
0.000 3.951 0.000
0.000 0.000 4.167
Fe H Pd Se
1 1 2 1
Direct
0.000 0.000 0.000
0.000 0.000 0.500
0.000 0.500 0.500
0.500 0.000 0.500
0.500 0.500 0.000
```